No. 1
## BePtS (PBE)

Data for crystalline BePtS at its relaxed geometry. Values from VASP.

## Properties
Formation energy (no corrections) ... -1.29 eV per formula unit
SG ... P2, No. 3
Theoretical density ... 8.5 g/cm³

Structure (Quantum ESPRESSO input):
```
&SYSTEM
  ibrav = 0, nat = 6, ntyp = 3
/
ATOMIC_SPECIES
Be 9.01 Be.upf
Pt 195.08 Pt.upf
S 32.06 S.upf
CELL_PARAMETERS angstrom
4.5189 0.0000 0.0000
0.0000 4.5049 0.0000
-0.2019 0.0000 4.5582
ATOMIC_POSITIONS crystal
Be 0.1896 0.0000 0.1861
Be 0.8104 0.0000 0.8139
Pt 0.2531 0.2475 0.7465
Pt 0.7469 0.2475 0.2535
S 0.0000 0.6074 0.0000
S 0.5000 0.8633 0.5000
```

=====

No. 2
## BePtS (PBE)

Data for crystalline BePtS at its relaxed geometry. Values from VASP.

## Properties
Formation energy (no corrections) ... 0.14 eV per formula unit
SG ... P4/nmm, No. 129
Theoretical density ... 8.5 g/cm³

Structure (Quantum ESPRESSO input):
```
&SYSTEM
  ibrav = 0, nat = 6, ntyp = 3
/
ATOMIC_SPECIES
Be 9.01 Be.upf
Pt 195.08 Pt.upf
S 32.06 S.upf
CELL_PARAMETERS angstrom
3.1380 0.0000 0.0000
0.0000 3.1380 0.0000
0.0000 0.0000 9.3684
ATOMIC_POSITIONS crystal
Be 0.2500 0.2500 0.0706
Be 0.7500 0.7500 0.9294
Pt 0.2500 0.2500 0.8316
Pt 0.7500 0.7500 0.1684
S 0.2500 0.7500 0.5000
S 0.7500 0.2500 0.5000
```

=====

No. 3
## BePtS (PBE)

Data for crystalline BePtS at its relaxed geometry. Values from VASP.

## Properties
Formation energy (no corrections) ... -1.42 eV per formula unit
SG ... Cm, No. 8
Theoretical density ... 8.5 g/cm³

Structure (Quantum ESPRESSO input):
```
&SYSTEM
  ibrav = 0, nat = 6, ntyp = 3
/
ATOMIC_SPECIES
Be 9.01 Be.upf
Pt 195.08 Pt.upf
S 32.06 S.upf
CELL_PARAMETERS angstrom
3.4265 -1.7971 0.0000
3.4265 1.7971 0.0000
-0.6677 0.0000 7.5020
ATOMIC_POSITIONS crystal
Be 0.0000 0.0000 0.0000
Be 0.1314 0.1314 0.5735
Pt 0.2952 0.2952 0.8706
Pt 0.7025 0.7025 0.1106
S 0.1241 0.1241 0.2950
S 0.8254 0.8254 0.6415
```

=====

No. 4
## Be3PtS (PBE)

Data for crystalline Be3PtS at its relaxed geometry. Values from VASP.

## Properties
Formation energy (no corrections) ... 1.92 eV per formula unit
SG ... Pm-3m, No. 221
Theoretical density ... 6.6 g/cm³
ΔE to the lowest computed polymorph ... 0 meV/atom

Structure (Quantum ESPRESSO input):
```
&SYSTEM
  ibrav = 0, nat = 5, ntyp = 3
/
ATOMIC_SPECIES
Be 9.01 Be.upf
Pt 195.08 Pt.upf
S 32.06 S.upf
CELL_PARAMETERS angstrom
3.9969 0.0000 0.0000
0.0000 3.9969 0.0000
0.0000 0.0000 3.9969
ATOMIC_POSITIONS crystal
Be 0.0000 0.0000 0.5000
Be 0.0000 0.5000 0.0000
Be 0.5000 0.0000 0.0000
Pt 0.5000 0.5000 0.5000
S 0.0000 0.0000 0.0000
```

=====

No. 5
## BePtS (PBE)

Data for crystalline BePtS at its relaxed geometry. Values from VASP.

## Properties
Formation energy (no corrections) ... -1.65 eV per formula unit
SG ... P-1, No. 2
Theoretical density ... 7.3 g/cm³

Structure (Quantum ESPRESSO input):
```
&SYSTEM
  ibrav = 0, nat = 6, ntyp = 3
/
ATOMIC_SPECIES
Be 9.01 Be.upf
Pt 195.08 Pt.upf
S 32.06 S.upf
CELL_PARAMETERS angstrom
3.5291 0.0000 0.0000
0.0097 3.6726 0.0000
0.0145 0.0233 8.2912
ATOMIC_POSITIONS crystal
Be 0.2354 0.2521 0.3353
Be 0.7646 0.7479 0.6647
Pt 0.3821 0.2498 0.6065
Pt 0.6179 0.7502 0.3935
S 0.2447 0.7484 0.7978
S 0.7553 0.2516 0.2022
```

=====

No. 6
## BePtS (PBE)

Data for crystalline BePtS at its relaxed geometry. Values from VASP.

## Properties
Formation energy (no corrections) ... -0.53 eV per formula unit
SG ... Pnma, No. 62
Theoretical density ... 9.2 g/cm³

Structure (Quantum ESPRESSO input):
```
&SYSTEM
  ibrav = 0, nat = 12, ntyp = 3
/
ATOMIC_SPECIES
Be 9.01 Be.upf
Pt 195.08 Pt.upf
S 32.06 S.upf
CELL_PARAMETERS angstrom
7.6811 0.0000 0.0000
0.0000 3.1608 0.0000
0.0000 0.0000 7.0597
ATOMIC_POSITIONS crystal
Be 0.0759 0.2500 0.1737
Be 0.4241 0.7500 0.6737
Be 0.5759 0.2500 0.3263
Be 0.9241 0.7500 0.8263
Pt 0.2307 0.7500 0.9767
Pt 0.2693 0.2500 0.4767
Pt 0.7307 0.7500 0.5233
Pt 0.7693 0.2500 0.0233
S 0.0712 0.2500 0.7267
S 0.4288 0.7500 0.2267
S 0.5712 0.2500 0.7733
S 0.9288 0.7500 0.2733
```

=====

No. 7
## BePtS (PBE)

Data for crystalline BePtS at its relaxed geometry. Values from VASP.

## Properties
Formation energy (no corrections) ... -0.18 eV per formula unit
SG ... Pnma, No. 62
Theoretical density ... 6.5 g/cm³

Structure (Quantum ESPRESSO input):
```
&SYSTEM
  ibrav = 0, nat = 12, ntyp = 3
/
ATOMIC_SPECIES
Be 9.01 Be.upf
Pt 195.08 Pt.upf
S 32.06 S.upf
CELL_PARAMETERS angstrom
4.5532 0.0000 0.0000
0.0000 6.8112 0.0000
0.0000 0.0000 7.8193
ATOMIC_POSITIONS crystal
Be 0.2359 0.2500 0.0618
Be 0.2641 0.7500 0.5618
Be 0.7359 0.2500 0.4382
Be 0.7641 0.7500 0.9382
Pt 0.2170 0.2500 0.3572
Pt 0.2830 0.7500 0.8572
Pt 0.7170 0.2500 0.1428
Pt 0.7830 0.7500 0.6428
S 0.0000 0.0000 0.0000
S 0.0000 0.5000 0.0000
S 0.5000 0.0000 0.5000
S 0.5000 0.5000 0.5000
```

=====

No. 8
## BePtS (PBE)

Data for crystalline BePtS at its relaxed geometry. Values from VASP.

## Properties
Formation energy (no corrections) ... -1.42 eV per formula unit
SG ... Aem2, No. 39
Theoretical density ... 8.2 g/cm³

Structure (Quantum ESPRESSO input):
```
&SYSTEM
  ibrav = 0, nat = 6, ntyp = 3
/
ATOMIC_SPECIES
Be 9.01 Be.upf
Pt 195.08 Pt.upf
S 32.06 S.upf
CELL_PARAMETERS angstrom
4.8894 0.0000 0.0000
0.0000 3.1660 3.0824
0.0000 -3.1660 3.0824
ATOMIC_POSITIONS crystal
Be 0.2184 0.2500 0.7500
Be 0.7816 0.7500 0.2500
Pt 0.5000 0.3418 0.3418
Pt 0.5000 0.8418 0.8418
S 0.1542 0.5732 0.0732
S 0.8458 0.0732 0.5732
```

=====

No. 9
## BePtS (PBE)

Data for crystalline BePtS at its relaxed geometry. Values from VASP.

## Properties
Formation energy (no corrections) ... -1.43 eV per formula unit
SG ... P1, No. 1
Theoretical density ... 8.7 g/cm³

Structure (Quantum ESPRESSO input):
```
&SYSTEM
  ibrav = 0, nat = 6, ntyp = 3
/
ATOMIC_SPECIES
Be 9.01 Be.upf
Pt 195.08 Pt.upf
S 32.06 S.upf
CELL_PARAMETERS angstrom
3.3339 0.0000 0.0000
0.0704 3.8011 0.0000
1.4800 0.1403 7.0764
ATOMIC_POSITIONS crystal
Be 0.0000 0.0000 0.0000
Be 0.2771 0.8120 0.4771
Pt 0.5834 0.7904 0.7577
Pt 0.7182 0.2994 0.4976
S 0.5084 0.2953 0.9684
S 0.8815 0.8098 0.2858
```

=====

No. 10
## BePtS (PBE)

Data for crystalline BePtS at its relaxed geometry. Values from VASP.

## Properties
Formation energy (no corrections) ... -1.41 eV per formula unit
SG ... P1, No. 1
Theoretical density ... 8.3 g/cm³

Structure (Quantum ESPRESSO input):
```
&SYSTEM
  ibrav = 0, nat = 6, ntyp = 3
/
ATOMIC_SPECIES
Be 9.01 Be.upf
Pt 195.08 Pt.upf
S 32.06 S.upf
CELL_PARAMETERS angstrom
3.3586 0.0000 0.0000
1.6777 3.2805 0.0000
0.0145 0.7995 8.5906
ATOMIC_POSITIONS crystal
Be 0.0000 0.0000 0.0000
Be 0.0945 0.8172 0.4551
Pt 0.4116 0.1803 0.5889
Pt 0.7694 0.4675 0.3479
S 0.0308 0.9404 0.7585
S 0.6832 0.6329 0.0720
```

=====

No. 11
## BePtS (PBE)

Data for crystalline BePtS at its relaxed geometry. Values from VASP.

## Properties
Formation energy (no corrections) ... -1.24 eV per formula unit
SG ... P-4m2, No. 115
Theoretical density ... 9.0 g/cm³

Structure (Quantum ESPRESSO input):
```
&SYSTEM
  ibrav = 0, nat = 6, ntyp = 3
/
ATOMIC_SPECIES
Be 9.01 Be.upf
Pt 195.08 Pt.upf
S 32.06 S.upf
CELL_PARAMETERS angstrom
3.1625 0.0000 0.0000
0.0000 3.1625 0.0000
0.0000 0.0000 8.7437
ATOMIC_POSITIONS crystal
Be 0.0000 0.0000 0.0000
Be 0.0000 0.0000 0.5000
Pt 0.5000 0.5000 0.1497
Pt 0.5000 0.5000 0.8503
S 0.0000 0.5000 0.6451
S 0.5000 0.0000 0.3549
```

=====

No. 12
## BePtS (PBE)

Data for crystalline BePtS at its relaxed geometry. Values from VASP.

## Properties
Formation energy (no corrections) ... -1.00 eV per formula unit
SG ... P1, No. 1
Theoretical density ... 8.6 g/cm³

Structure (Quantum ESPRESSO input):
```
&SYSTEM
  ibrav = 0, nat = 6, ntyp = 3
/
ATOMIC_SPECIES
Be 9.01 Be.upf
Pt 195.08 Pt.upf
S 32.06 S.upf
CELL_PARAMETERS angstrom
3.4787 0.0000 0.0000
-1.0591 4.4883 0.0000
-1.0259 -0.4856 5.8436
ATOMIC_POSITIONS crystal
Be 0.0000 0.0000 0.0000
Be 0.3452 0.4665 0.3091
Pt 0.2102 0.9758 0.4143
Pt 0.4728 0.5303 0.6929
S 0.4574 0.0484 0.8092
S 0.8410 0.5969 0.1416
```

=====

No. 13
## BePtS (PBE)

Data for crystalline BePtS at its relaxed geometry. Values from VASP.

## Properties
Formation energy (no corrections) ... -1.34 eV per formula unit
SG ... P1, No. 1
Theoretical density ... 6.8 g/cm³

Structure (Quantum ESPRESSO input):
```
&SYSTEM
  ibrav = 0, nat = 6, ntyp = 3
/
ATOMIC_SPECIES
Be 9.01 Be.upf
Pt 195.08 Pt.upf
S 32.06 S.upf
CELL_PARAMETERS angstrom
3.2615 0.0000 0.0000
1.6262 4.5053 0.0000
0.0289 1.3621 7.8548
ATOMIC_POSITIONS crystal
Be 0.0000 0.0000 0.0000
Be 0.1536 0.6938 0.7335
Pt 0.4142 0.1740 0.8082
Pt 0.7517 0.4965 0.9999
S 0.1830 0.6306 0.1806
S 0.5695 0.8650 0.5985
```